# Cs2LaHgF6 | Alexandria via LeMat-Bulk | GGA-PBE | relaxed
data_Cs2LaHgF6
_space_group_name_H-M_alt 'F m -3 m'
_space_group_IT_number 225
_space_group_name_Hall '-F 4 2 3'
_cell_length_a 9.8865
_cell_length_b 9.8865
_cell_length_c 9.8865
_cell_angle_alpha 90.00
_cell_angle_beta 90.00
_cell_angle_gamma 90.00
loop_
_atom_site_label
_atom_site_fract_x
_atom_site_fract_y
_atom_site_fract_z
_atom_site_occupancy
Cs1 0.2500 0.2500 0.2500 1
La1 0.0000 0.0000 0.0000 1
Hg1 0.0000 0.0000 0.5000 1
F1 0.0000 0.0000 0.2344 1
# calculated total energy	-4.69	eV/atom
# energy relative to the elements, uncorrected	-2.871	eV per atom


# CsLaHgF6 | Alexandria via LeMat-Bulk | GGA-PBE | relaxed
data_CsLaHgF6
_space_group_name_H-M_alt 'I m m a'
_space_group_IT_number 74
_space_group_name_Hall '-I 2b 2'
_cell_length_a 8.2613
_cell_length_b 8.8337
_cell_length_c 12.4573
_cell_angle_alpha 90.00
_cell_angle_beta 90.00
_cell_angle_gamma 90.00
loop_
_atom_site_label
_atom_site_fract_x
_atom_site_fract_y
_atom_site_fract_z
_atom_site_occupancy
Cs1 0.0000 0.2500 0.0492 1
La1 0.0000 0.0000 0.5000 1
Hg1 0.2500 0.2500 0.7500 1
F1 0.0000 0.2500 0.4323 1
F2 0.0000 0.2500 0.8179 1
F3 0.2134 0.0647 0.6119 1
# calculated total energy	-4.82	eV/atom
# energy relative to the elements, uncorrected	-2.895	eV per atom


# CsLi3Hg4F12 | Alexandria via LeMat-Bulk | GGA-PBE | relaxed
data_CsLi3Hg4F12
_space_group_name_H-M_alt 'I m -3'
_space_group_IT_number 204
_space_group_name_Hall '-I 2 2 3'
_cell_length_a 8.5086
_cell_length_b 8.5086
_cell_length_c 8.5086
_cell_angle_alpha 90.00
_cell_angle_beta 90.00
_cell_angle_gamma 90.00
loop_
_atom_site_label
_atom_site_fract_x
_atom_site_fract_y
_atom_site_fract_z
_atom_site_occupancy
Cs1 0.0000 0.0000 0.0000 1
Li1 0.0000 0.0000 0.5000 1
Hg1 0.2500 0.2500 0.2500 1
F1 0.0000 0.1640 0.3295 1
# calculated total energy	-3.48	eV/atom
# energy relative to the elements, uncorrected	-1.971	eV per atom